Here is an optimized crystal structure of MnPdC from Alexandria via LeMat-Bulk. Energies are from PBE.

Results
energy relative to the elements = 0.276 eV/atom
total moment = 0.49 μB/atom
Fermi-level density of states = 2.02 states/eV/f.u.

CIF file:
```
data_MnPdC
_chemical_formula_sum 'Mn4 Pd4 C4'
_cell_length_a 2.693
_cell_length_b 10.307
_cell_length_c 4.735
_cell_angle_alpha 90.00
_cell_angle_beta 90.00
_cell_angle_gamma 90.00
_space_group_name_H-M_alt 'C m c 21'
_space_group_IT_number 36
loop_
_space_group_symop_operation_xyz
'x,y,z'
'-x,-y,z+1/2'
'-x,y,z'
'x,-y,z+1/2'
'x+1/2,y+1/2,z'
'-x+1/2,-y+1/2,z+1/2'
'-x+1/2,y+1/2,z'
'x+1/2,-y+1/2,z+1/2'
loop_
_atom_site_label
_atom_site_type_symbol
_atom_site_fract_x
_atom_site_fract_y
_atom_site_fract_z
Mn1 Mn 0.000 0.058 0.000
Pd1 Pd 0.000 0.204 0.472
C1 C 0.000 0.448 0.805
```